The following is a DFT calculation (PBE) of a relaxed NaCoNiS3 crystal.

abc: 7.406 3.430 8.518
angles: 90.00 110.18 90.00
Sites, in units of the cell vectors:
Na: 0.228 0.250 0.256
Na: 0.772 0.750 0.744
Co: 0.321 0.750 0.850
Co: 0.679 0.250 0.150
Ni: 0.083 0.250 0.620
Ni: 0.917 0.750 0.380
S: 0.126 0.250 0.882
S: 0.227 0.750 0.551
S: 0.468 0.750 0.133
S: 0.532 0.250 0.867
S: 0.773 0.250 0.449
S: 0.874 0.750 0.118

Properties
Electronic total energy = -4.95 eV per atom
Total moment = 0.00 μB per cell
Calculated density = 3.87 g cm⁻³
V = 16.923 A^3/atom
Space group = P2_1/m, No. 11
DOS(E_F) = 3.4 states/eV/f.u.


The following is a DFT calculation (PBE) of a relaxed NaCo2NiSb crystal.

abc: 4.416 4.416 4.686
angles: 90.00 90.00 90.00
Sites, in units of the cell vectors:
Na: 0.000 0.000 0.000
Co: 0.000 0.500 0.500
Co: 0.500 0.000 0.500
Ni: 0.000 0.000 0.500
Sb: 0.500 0.500 0.000

Properties
Electronic total energy = -4.27 eV per atom
Total moment = 4.36 μB per cell
Calculated density = 5.84 g cm⁻³
V = 18.277 A^3/atom
Space group = P4/mmm, No. 123
DOS(E_F) = 6.6 states/eV/f.u.


The following is a DFT calculation (PBE) of a relaxed NaCoNiSe3 crystal.

abc: 7.674 3.595 8.948
angles: 90.00 110.24 90.00
Sites, in units of the cell vectors:
Na: 0.229 0.250 0.268
Na: 0.771 0.750 0.732
Co: 0.316 0.750 0.847
Co: 0.684 0.250 0.153
Ni: 0.078 0.250 0.617
Ni: 0.922 0.750 0.383
Se: 0.119 0.250 0.882
Se: 0.237 0.750 0.556
Se: 0.464 0.750 0.133
Se: 0.536 0.250 0.867
Se: 0.763 0.250 0.444
Se: 0.881 0.750 0.118

Properties
Electronic total energy = -4.55 eV per atom
Total moment = 0.00 μB per cell
Calculated density = 5.41 g cm⁻³
V = 19.300 A^3/atom
Space group = P2_1/m, No. 11
DOS(E_F) = 3.8 states/eV/f.u.


The following is a DFT calculation (PBE) of a relaxed NaCoSiNi2 crystal.

abc: 4.227 4.227 4.311
angles: 90.00 90.00 90.00
Sites, in units of the cell vectors:
Na: 0.000 0.000 0.000
Co: 0.000 0.000 0.500
Si: 0.500 0.500 0.500
Ni: 0.000 0.500 0.000
Ni: 0.500 0.000 0.000

Properties
Electronic total energy = -3.38 eV per atom
Total moment = 1.74 μB per cell
Calculated density = 4.90 g cm⁻³
V = 15.406 A^3/atom
Space group = P4/mmm, No. 123
DOS(E_F) = 6.5 states/eV/f.u.


The following is a DFT calculation (PBE) of a relaxed NaCo2NiSn crystal.

abc: 4.413 4.413 4.692
angles: 90.00 90.00 90.00
Sites, in units of the cell vectors:
Na: 0.000 0.000 0.000
Co: 0.000 0.500 0.500
Co: 0.500 0.000 0.500
Ni: 0.000 0.000 0.500
Sn: 0.500 0.500 0.000

Properties
Electronic total energy = -4.24 eV per atom
Total moment = 3.98 μB per cell
Calculated density = 5.78 g cm⁻³
V = 18.278 A^3/atom
Space group = P4/mmm, No. 123
DOS(E_F) = 6.4 states/eV/f.u.


The following is a DFT calculation (PBE) of a relaxed Na2TaCoNi crystal.

abc: 5.769 5.769 4.288
angles: 90.00 90.00 90.00
Sites, in units of the cell vectors:
Na: 0.000 0.500 0.000
Na: 0.500 0.000 0.000
Ta: 0.000 0.000 0.000
Co: 0.000 0.000 0.500
Ni: 0.500 0.500 0.500

Properties
Electronic total energy = -3.62 eV per atom
Total moment = 1.59 μB per cell
Calculated density = 4.01 g cm⁻³
V = 28.546 A^3/atom
Space group = P4/mmm, No. 123
DOS(E_F) = 6.7 states/eV/f.u.